[1]
AgAsH6Pt: optimized geometry, PBE.

Summary:
E_tot   -29.7 eV/cell
SG   F-43m, No. 216

Lattice parameters (Å, degrees): 4.948 4.948 4.948 60.00 60.00 60.00
Fractional coordinates of all 9 atoms:
Ag 0.000 0.000 0.000
As 0.500 0.500 0.500
H 0.506 0.506 0.994
H 0.506 0.994 0.506
H 0.506 0.994 0.994
H 0.994 0.506 0.506
H 0.994 0.506 0.994
H 0.994 0.994 0.506
Pt 0.750 0.750 0.750

[2]
BaZnB4: optimized geometry, PBE.

Summary:
Relative energy among the computed polymorphs   0 meV/atom
SG   P6/mmm, No. 191

Lattice parameters (Å, degrees): 3.175 3.175 8.261 90.00 90.00 120.00
Fractional coordinates of all 6 atoms:
Ba 0.000 0.000 0.000
Zn 0.000 0.000 0.500
B 0.333 0.667 0.302
B 0.333 0.667 0.698
B 0.667 0.333 0.302
B 0.667 0.333 0.698

[3]
LiGdMo: optimized geometry, PBE.

Summary:
Relative energy among the computed polymorphs   0 meV/atom
SG   F-43m, No. 216

Lattice parameters (Å, degrees): 4.447 4.447 4.447 60.00 60.00 60.00
Fractional coordinates of all 3 atoms:
Li 0.000 0.000 0.000
Gd 0.750 0.750 0.750
Mo 0.250 0.250 0.250

[4]
LuTeAuO: optimized geometry, PBE.

Summary:
Relative energy among the computed polymorphs   39 meV/atom
SG   P4mm, No. 99

Lattice parameters (Å, degrees): 5.590 5.590 10.065 90.00 90.00 90.00
Fractional coordinates of all 16 atoms:
Lu 0.000 0.000 0.000
Lu 0.000 0.500 0.796
Lu 0.500 0.000 0.796
Lu 0.500 0.500 0.000
Te 0.000 0.000 0.615
Te 0.000 0.500 0.178
Te 0.500 0.000 0.178
Te 0.500 0.500 0.618
Au 0.250 0.250 0.397
Au 0.250 0.750 0.397
Au 0.750 0.250 0.397
Au 0.750 0.750 0.397
O 0.250 0.250 0.898
O 0.250 0.750 0.898
O 0.750 0.250 0.898
O 0.750 0.750 0.898